*one*
Compound: AcGdHg
Source: Alexandria via LeMat-Bulk
Functional: PBE-GGA
Structure: relaxed

Unit cell a=5.3797 b=5.3797 c=5.3797 alpha=60.00 beta=60.00 gamma=60.00
Last column: magnetic moment on the atom in μB.
Element x y z (fractional)
1 Ac 0.5000 0.5000 0.5000  0.12
2 Hg 0.2500 0.2500 0.2500  0.01
3 Gd 0.0000 0.0000 0.0000  7.24

## Properties
- M_tot: 8.0 μB/f.u.
- Fermi-level density of states: 1.747 states/eV/atom
- Space-group type: F-43m (216)


*two*
Compound: AcGdHg
Source: Alexandria via LeMat-Bulk
Functional: PBE-GGA
Structure: relaxed

Unit cell a=3.8793 b=3.8793 c=7.0891 alpha=105.88 beta=105.88 gamma=90.00
Last column: magnetic moment on the atom in μB.
Element x y z (fractional)
1 Ac 0.2926 0.2926 0.5853  0.08
2 Hg 0.9657 0.9657 0.9313  -0.02
3 Gd 0.5917 0.5917 0.1834  7.23

## Properties
- M_tot: 7.8 μB/f.u.
- Fermi-level density of states: 1.223 states/eV/atom
- Space-group type: I4mm (107)


Which of them is most stable? Easy: *two*.


*one*
Compound: AcGd2Hg
Source: Alexandria via LeMat-Bulk
Functional: PBE-GGA
Structure: relaxed

Unit cell a=5.1110 b=4.9688 c=4.9688 alpha=90.00 beta=90.00 gamma=90.00
Last column: magnetic moment on the atom in μB.
Element x y z (fractional)
1 Gd 0.0000 0.0000 0.5000  7.34
2 Gd 0.0000 0.5000 0.0000  7.34
3 Ac 0.5000 0.0000 0.0000  0.12
4 Hg 0.5000 0.5000 0.5000  -0.01

## Properties
- M_tot: 15.6 μB/f.u.
- Fermi-level density of states: 1.301 states/eV/atom
- Space-group type: P4/mmm (123)


*two*
Compound: AcGd2Hg
Source: Alexandria via LeMat-Bulk
Functional: PBE-GGA
Structure: relaxed

Unit cell a=5.5971 b=5.5971 c=5.5971 alpha=60.00 beta=60.00 gamma=60.00
Last column: magnetic moment on the atom in μB.
Element x y z (fractional)
1 Hg 0.5000 0.5000 0.5000  -0.01
2 Ac 0.0000 0.0000 0.0000  0.29
3 Gd 0.7500 0.7500 0.7500  7.36
4 Gd 0.2500 0.2500 0.2500  7.36

## Properties
- M_tot: 16.1 μB/f.u.
- Fermi-level density of states: 1.540 states/eV/atom
- Space-group type: Fm-3m (225)


*three*
Compound: AcGd2Hg
Source: Alexandria via LeMat-Bulk
Functional: PBE-GGA
Structure: relaxed

Unit cell a=3.7681 b=3.7681 c=9.0406 alpha=90.00 beta=90.00 gamma=90.00
Last column: magnetic moment on the atom in μB.
Element x y z (fractional)
1 Ac 0.5000 0.5000 0.5000  0.05
2 Gd 0.0000 0.0000 0.7936  7.19
3 Hg 0.5000 0.5000 0.0000  0.01
4 Gd 0.0000 0.0000 0.2064  7.19

## Properties
- M_tot: 15.2 μB/f.u.
- Fermi-level density of states: 1.128 states/eV/atom
- Space-group type: P4/mmm (123)


Which of them is most stable? Easy: *three*.


*one*
Compound: AcGd2Ho
Source: Alexandria via LeMat-Bulk
Functional: PBE-GGA
Structure: relaxed

Unit cell a=5.8407 b=5.8407 c=5.8407 alpha=60.00 beta=60.00 gamma=60.00
Last column: magnetic moment on the atom in μB.
Element x y z (fractional)
1 Gd 0.7500 0.7500 0.7500  7.34
2 Ho 0.0000 0.0000 0.0000  0.28
3 Gd 0.2500 0.2500 0.2500  7.34
4 Ac 0.5000 0.5000 0.5000  0.15

## Properties
- M_tot: 16.3 μB/f.u.
- Fermi-level density of states: 2.040 states/eV/atom
- Space-group type: Fm-3m (225)


*two*
Compound: AcGd2Ho
Source: Alexandria via LeMat-Bulk
Functional: PBE-GGA
Structure: relaxed

Unit cell a=3.6038 b=3.6038 c=12.8578 alpha=81.94 beta=81.94 gamma=60.00
Last column: magnetic moment on the atom in μB.
Element x y z (fractional)
1 Gd 0.9072 0.9072 0.2783  -7.22
2 Ac 0.0000 0.0000 0.0000  -0.07
3 Gd 0.0928 0.0928 0.7217  -7.22
4 Ho 0.5000 0.5000 0.5000  0.09

## Properties
- M_tot: 15.0 μB/f.u.
- Fermi-level density of states: 1.568 states/eV/atom
- Space-group type: R-3m (166)


Which of them is most stable? Easy: *one*.


*one*
Compound: Ac2GdHo
Source: Alexandria via LeMat-Bulk
Functional: PBE-GGA
Structure: relaxed

Unit cell a=5.9956 b=5.9956 c=5.9956 alpha=60.00 beta=60.00 gamma=60.00
Last column: magnetic moment on the atom in μB.
Element x y z (fractional)
1 Gd 0.5000 0.5000 0.5000  -7.23
2 Ho 0.0000 0.0000 0.0000  -0.03
3 Ac 0.2500 0.2500 0.2500  -0.04
4 Ac 0.7500 0.7500 0.7500  -0.04

## Properties
- M_tot: 7.7 μB/f.u.
- Fermi-level density of states: 1.920 states/eV/atom
- Space-group type: Fm-3m (225)


*two*
Compound: Ac2GdHo
Source: Alexandria via LeMat-Bulk
Functional: PBE-GGA
Structure: relaxed

Unit cell a=3.7259 b=3.7259 c=13.2276 alpha=81.90 beta=81.90 gamma=60.00
Last column: magnetic moment on the atom in μB.
Element x y z (fractional)
1 Ho 0.5000 0.5000 0.5000  -0.02
2 Gd 0.0000 0.0000 0.0000  -7.36
3 Ac 0.9105 0.9105 0.2684  -0.04
4 Ac 0.0895 0.0895 0.7316  -0.04

## Properties
- M_tot: 8.1 μB/f.u.
- Fermi-level density of states: 1.932 states/eV/atom
- Space-group type: R-3m (166)


*three*
Compound: Ac2GdHo
Source: Alexandria via LeMat-Bulk
Functional: PBE-GGA
Structure: relaxed

Unit cell a=3.8517 b=3.8517 c=10.2124 alpha=90.00 beta=90.00 gamma=90.00
Last column: magnetic moment on the atom in μB.
Element x y z (fractional)
1 Ho 0.5000 0.5000 0.0000  -0.09
2 Ac 0.0000 0.0000 0.7536  0.00
3 Gd 0.5000 0.5000 0.5000  7.23
4 Ac 0.0000 0.0000 0.2464  0.00

## Properties
- M_tot: 7.5 μB/f.u.
- Fermi-level density of states: 1.449 states/eV/atom
- Space-group type: P4/mmm (123)


Which of them is most stable? Easy: *three*.